Entry 1:
VASP calculation (PBE) on crystalline EuPuAl2 at its relaxed geometry.

Relative energy among the computed polymorphs in eV/f.u.: 0.150
Formation energy from the elements in kcal/mol of atoms: -2.193
DOS(E_F) in states/eV/cell: 39.318

abc: 7.336 7.336 7.336
angles: 90.00 90.00 90.00
Space group Fm-3m (No. 225)
Symmetry-distinct sites (fractional):
Eu 0.000 0.000 0.000 [4 per cell]
Pu 0.000 0.000 0.500 [4 per cell]
Al 0.250 0.250 0.250 [8 per cell]

Entry 2:
VASP calculation (PBE) on crystalline BeRh6O12 at its relaxed geometry.

DOS(E_F) in states/eV/cell: 42.414
Formation energy without anion corrections in eV per atom: -0.627

abc: 8.8732 8.8732 8.5472
angles: 90.00 90.00 120.00
Space group R-3 (No. 148, hexagonal axes)
Symmetry-distinct sites (fractional):
Be 0.0000 0.0000 0.0000 [3 per cell]
Rh 0.0493 0.2453 0.6698 [18 per cell]
O 0.0390 0.2269 0.4053 [18 per cell]
O 0.0527 0.2017 0.8940 [18 per cell]

Entry 3:
VASP calculation (PBE) on crystalline Cs6Cd2AuO at its relaxed geometry.

DOS(E_F) in states/eV/cell: 16.936
Formation energy without anion corrections in eV per atom: -0.328

abc: 9.139 9.154 15.883
angles: 90.00 125.07 90.00
Space group P2_1/c (No. 14)
Symmetry-distinct sites (fractional):
Cs 0.185 0.000 0.225 [4 per cell]
Cs 0.214 0.245 0.519 [4 per cell]
Cs 0.276 0.695 0.522 [4 per cell]
Cd 0.257 0.527 0.250 [4 per cell]
Au 0.500 0.000 0.500 [2 per cell]
O 0.000 0.000 0.000 [2 per cell]

Entry 4:
VASP calculation (PBE) on crystalline Ce4Mg5Ge6 at its relaxed geometry.

Formation energy from the elements in kcal/mol of atoms: -12.620
DOS(E_F) in states/eV/cell: 103.318

abc: 4.463 19.966 15.739
angles: 90.00 90.00 90.00
Space group Cmc2_1 (No. 36)
Symmetry-distinct sites (fractional):
Ce 0.000 0.015 0.000 [4 per cell]
Ce 0.000 0.035 0.266 [4 per cell]
Ce 0.000 0.162 0.803 [4 per cell]
Ce 0.000 0.173 0.443 [4 per cell]
Mg 0.000 0.156 0.124 [4 per cell]
Mg 0.000 0.304 0.120 [4 per cell]
Mg 0.000 0.338 0.769 [4 per cell]
Mg 0.000 0.348 0.479 [4 per cell]
Mg 0.000 0.443 0.171 [4 per cell]
Ge 0.000 0.111 0.618 [4 per cell]
Ge 0.000 0.228 0.976 [4 per cell]
Ge 0.000 0.235 0.269 [4 per cell]
Ge 0.000 0.427 0.628 [4 per cell]
Ge 0.000 0.432 0.904 [4 per cell]
Ge 0.000 0.445 0.352 [4 per cell]

Entry 5:
VASP calculation (PBE) on crystalline AsIr2Au at its relaxed geometry.

Formation energy from the elements in kcal/mol of atoms: 11.576
DOS(E_F) in states/eV/cell: 9.590

abc: 4.499 4.499 6.404
angles: 90.00 90.00 90.00
Space group I-4m2 (No. 119)
Symmetry-distinct sites (fractional):
As 0.000 0.000 0.000 [2 per cell]
Ir 0.000 0.000 0.500 [2 per cell]
Ir 0.000 0.500 0.250 [2 per cell]
Au 0.000 0.500 0.750 [2 per cell]

Entry 6:
VASP calculation (PBE) on crystalline Ac3IrBr2O6 at its relaxed geometry.

DOS(E_F) in states/eV/cell: 9.502
Formation energy without anion corrections in eV per atom: -1.876

abc: 12.159 6.994 6.054
angles: 90.00 98.18 90.00
Space group C2/m (No. 12)
Symmetry-distinct sites (fractional):
Ac 0.000 0.000 0.000 [2 per cell]
Ac 0.250 0.250 0.500 [4 per cell]
Ir 0.000 0.500 0.500 [2 per cell]
Br 0.235 0.000 0.909 [4 per cell]
O 0.054 0.272 0.312 [8 per cell]
O 0.153 0.500 0.656 [4 per cell]

no.,density (g/cm3),E (eV for the cell shown)
1,7.57,-129.9
2,7.00,-357.8
3,3.77,-36.9
4,5.29,-270.5
5,16.81,-47.3
6,7.36,-153.6